w.
Entry from Alexandria: Hf2MnNb after structural relaxation (GGA-PBE).

a b c (Å): 9.0096 9.0096 9.0096
angles (deg): 19.86 19.86 19.86
Positions (direct):
Hf1 0.2396 0.2396 0.2396
Hf2 0.7604 0.7604 0.7604
Mn1 0.5000 0.5000 0.5000
Nb1 0.0000 0.0000 0.0000

Summary:
* M_tot: 0.000 μB per atom



x.
Entry from Alexandria: Hf2MnNb after structural relaxation (GGA-PBE).

a b c (Å): 5.9026 5.9026 5.9026
angles (deg): 103.24 103.24 122.82
Positions (direct):
Hf1 0.0814 0.6250 0.9564
Hf2 0.3750 0.3314 0.4564
Hf3 0.6686 0.1250 0.0436
Hf4 0.8750 0.9186 0.5436
Mn1 0.0000 0.0000 0.0000
Mn2 0.7500 0.2500 0.5000
Nb1 0.2500 0.7500 0.5000
Nb2 0.5000 0.5000 0.0000

Summary:
* M_tot: 0.000 μB per atom



y.
Entry from Alexandria: Hf2MnNb after structural relaxation (GGA-PBE).

a b c (Å): 3.1710 3.1710 7.1700
angles (deg): 90.00 90.00 90.00
Positions (direct):
Hf1 0.0000 0.0000 0.2145
Hf2 0.0000 0.0000 0.7855
Mn1 0.5000 0.5000 0.0000
Nb1 0.5000 0.5000 0.5000

Summary:
* M_tot: 0.001 μB per atom



According to the calculations, the structures order from most to least stable as y, w, x.